Sm6HoHg5: optimized geometry, PBE.

```
Sm6HoHg5
1.0
-2.634 3.949 8.085
2.634 -3.949 8.085
2.634 3.949 -8.085
Sm Ho Hg
6 1 5
Direct
0.073 0.328 0.745 Sm
0.226 0.000 0.226 Sm
0.417 0.672 0.745 Sm
0.583 0.328 0.255 Sm
0.774 0.000 0.774 Sm
0.927 0.672 0.255 Sm
0.500 0.500 0.000 Ho
0.000 0.500 0.500 Hg
0.171 0.171 0.000 Hg
0.354 0.854 0.500 Hg
0.646 0.146 0.500 Hg
0.829 0.829 0.000 Hg
```

## Properties
- energy of formation (eV per formula unit) = -4.16
- total DFT energy (no corrections) (Ha/atom) = -0.11811